The following is a DFT calculation (PBE-GGA) of a relaxed SrTe2C crystal.

```
16
Lattice="7.3952 0.0000 0.0000 0.0000 7.3952 0.0000 0.0000 0.0000 8.3595" Properties=species:S:1:pos:R:3 pbc="T T T"
Sr 0.0000 0.0000 0.0000
Sr 0.0000 3.6976 2.0899
Sr 3.6976 0.0000 6.2696
Sr 3.6976 3.6976 4.1797
Te 1.0371 1.8488 5.2247
Te 1.8488 4.7347 7.3145
Te 1.8488 6.3581 3.1348
Te 2.6605 1.8488 1.0449
Te 4.7347 5.5464 1.0449
Te 5.5464 1.0371 3.1348
Te 5.5464 2.6605 7.3145
Te 6.3581 5.5464 5.2247
C 0.0000 0.0000 4.1797
C 0.0000 3.6976 6.2696
C 3.6976 0.0000 2.0899
C 3.6976 3.6976 0.0000
```

raw formation energy	0.288	eV per atom
raw total energy	-4.009	eV/atom



The following is a DFT calculation (PBE-GGA) of a relaxed Sr4Te2C crystal.

```
14
Lattice="5.2951 0.0000 0.0000 0.0000 5.2951 0.0000 0.0000 0.0000 16.9009" Properties=species:S:1:pos:R:3 pbc="T T T"
Sr 0.0000 0.0000 2.6640
Sr 0.0000 0.0000 14.2370
Sr 0.0000 2.6476 0.0000
Sr 0.0000 2.6476 8.4505
Sr 2.6476 0.0000 0.0000
Sr 2.6476 0.0000 8.4505
Sr 2.6476 2.6476 5.7865
Sr 2.6476 2.6476 11.1144
Te 0.0000 0.0000 6.0670
Te 0.0000 0.0000 10.8339
Te 2.6476 2.6476 2.3834
Te 2.6476 2.6476 14.5175
C 0.0000 0.0000 0.0000
C 2.6476 2.6476 8.4505
```

raw formation energy	-0.783	eV per atom
raw total energy	-3.959	eV/atom



The following is a DFT calculation (PBE-GGA) of a relaxed Sr2TeC crystal.

```
12
Lattice="5.1636 0.0000 0.0000 -2.5818 4.4718 0.0000 0.0000 0.0000 24.7744" Properties=species:S:1:pos:R:3 pbc="T T T"
Sr 0.0000 0.0000 2.4698
Sr 0.0000 0.0000 22.3046
Sr 0.0000 2.9812 14.0465
Sr 0.0000 2.9812 18.9860
Sr 2.5818 1.4906 5.7883
Sr 2.5818 1.4906 10.7279
Te 0.0000 0.0000 12.3872
Te 0.0000 2.9812 4.1291
Te 2.5818 1.4906 20.6453
C 0.0000 0.0000 0.0000
C 0.0000 2.9812 16.5163
C 2.5818 1.4906 8.2581
```

raw formation energy	0.353	eV per atom
raw total energy	-3.579	eV/atom



The following is a DFT calculation (PBE-GGA) of a relaxed Sr2TeC crystal.

```
16
Lattice="7.6404 0.0000 0.0000 0.0000 7.6404 0.0000 0.0000 0.0000 7.6404" Properties=species:S:1:pos:R:3 pbc="T T T"
Sr 1.9101 1.9101 1.9101
Sr 1.9101 1.9101 5.7303
Sr 1.9101 5.7303 1.9101
Sr 1.9101 5.7303 5.7303
Sr 5.7303 1.9101 1.9101
Sr 5.7303 1.9101 5.7303
Sr 5.7303 5.7303 1.9101
Sr 5.7303 5.7303 5.7303
Te 0.0000 0.0000 0.0000
Te 0.0000 3.8202 3.8202
Te 3.8202 0.0000 3.8202
Te 3.8202 3.8202 0.0000
C 0.0000 0.0000 3.8202
C 0.0000 3.8202 0.0000
C 3.8202 0.0000 0.0000
C 3.8202 3.8202 3.8202
```

raw formation energy	0.204	eV per atom
raw total energy	-3.728	eV/atom